Entry 1:
This record from Alexandria describes a relaxed structure of MnOsO. The functional is PBE with a Hubbard U.

Properties
N(E_F) = 1.76 states/eV/f.u.

```
MnOsO
1.0
3.808 0.000 0.000
-1.904 4.100 0.000
0.000 0.000 5.798
O Mn Os
2 2 2
direct
0.206 0.411 0.250
0.206 0.411 0.750
0.422 0.843 0.000
0.422 0.843 0.500
0.706 0.412 0.250
0.706 0.412 0.750
```



Entry 2:
This record from Alexandria describes a relaxed structure of Mn2Os2O7. The functional is PBE with a Hubbard U.

Properties
N(E_F) = 6.53 states/eV/f.u.

```
Mn2Os2O7
1.0
6.188 0.000 3.573
2.063 5.834 3.573
0.000 0.000 7.146
Mn O Os
4 14 4
direct
0.625 0.625 0.625
0.125 0.625 0.625
0.625 0.625 0.125
0.625 0.125 0.625
0.798 0.202 0.202
0.202 0.202 0.798
0.452 0.048 0.048
0.048 0.452 0.452
0.798 0.798 0.202
0.202 0.798 0.202
0.750 0.750 0.750
0.048 0.048 0.452
0.202 0.798 0.798
0.798 0.202 0.798
0.500 0.500 0.500
0.048 0.452 0.048
0.452 0.048 0.452
0.452 0.452 0.048
0.125 0.125 0.625
0.125 0.625 0.125
0.125 0.125 0.125
0.625 0.125 0.125
```



Entry 3:
This record from Alexandria describes a relaxed structure of MnOs3O. The functional is PBE with a Hubbard U.

Properties
N(E_F) = 5.29 states/eV/f.u.
Polymorph energy (0 for the lowest one) = 2096 meV per atom

```
MnOs3O
1.0
4.422 0.000 0.000
0.000 4.422 0.000
0.000 0.000 4.422
Os O Mn
3 1 1
direct
0.000 0.500 0.000
0.000 0.000 0.500
0.500 0.000 0.000
0.500 0.500 0.500
0.000 0.000 0.000
```



Entry 4:
This record from Alexandria describes a relaxed structure of MnOsO3. The functional is PBE with a Hubbard U.

Properties
N(E_F) = 5.59 states/eV/f.u.

```
MnOsO3
1.0
3.748 0.000 0.000
0.000 3.748 0.000
0.000 0.000 3.748
O Os Mn
3 1 1
direct
0.000 0.500 0.000
0.500 0.000 0.000
0.000 0.000 0.500
0.500 0.500 0.500
0.000 0.000 0.000
```



Entry 5:
This record from Alexandria describes a relaxed structure of MnP2OsO. The functional is PBE with a Hubbard U.

Properties
N(E_F) = 4.01 states/eV/f.u.
Polymorph energy (0 for the lowest one) = 0 meV per atom

```
MnP2OsO
1.0
-0.849 -2.251 4.219
-4.018 -1.986 -1.869
1.952 -2.874 -1.141
Os O P Mn
1 1 2 1
direct
0.000 0.000 0.000
0.000 0.000 0.500
0.500 0.000 0.000
0.000 0.500 0.000
0.500 0.500 0.500
```



Entry 6:
This record from Alexandria describes a relaxed structure of MnP2OsO. The functional is PBE with a Hubbard U.

Properties
N(E_F) = 3.34 states/eV/f.u.
Polymorph energy (0 for the lowest one) = 574 meV per atom

```
MnP2OsO
1.0
-4.392 1.483 0.358
-1.503 -4.394 -0.238
0.192 -0.249 3.386
O P Os Mn
1 2 1 1
direct
0.000 0.000 0.500
0.500 0.000 0.000
0.000 0.500 0.000
0.500 0.500 0.500
0.000 0.000 0.000
```



Entry 7:
This record from Alexandria describes a relaxed structure of MnOsPbO6. The functional is PBE with a Hubbard U.

Properties
N(E_F) = 4.31 states/eV/f.u.

```
MnOsPbO6
1.0
5.209 0.000 0.000
-2.605 4.511 0.000
0.000 0.000 10.502
O Os Pb Mn
12 2 2 2
direct
0.382 0.007 0.148
0.375 0.382 0.852
0.993 0.618 0.352
0.618 0.993 0.852
0.375 0.993 0.648
0.625 0.007 0.352
0.007 0.625 0.852
0.382 0.375 0.352
0.993 0.375 0.148
0.007 0.382 0.648
0.618 0.625 0.648
0.625 0.618 0.148
0.667 0.333 0.250
0.333 0.667 0.750
0.000 0.000 0.500
0.000 0.000 0.000
0.667 0.333 0.750
0.333 0.667 0.250
```



Entry 8:
This record from Alexandria describes a relaxed structure of PmMnOsO6. The functional is PBE with a Hubbard U.

Properties
N(E_F) = 3.89 states/eV/f.u.

```
PmMnOsO6
1.0
5.562 0.000 0.000
-2.781 4.817 0.000
0.000 0.000 8.727
O Pm Os Mn
12 2 2 2
direct
0.316 0.374 0.874
0.058 0.374 0.626
0.684 0.058 0.374
0.316 0.942 0.626
0.626 0.942 0.874
0.942 0.316 0.126
0.374 0.316 0.374
0.684 0.626 0.126
0.942 0.626 0.374
0.374 0.058 0.126
0.626 0.684 0.626
0.058 0.684 0.874
0.333 0.667 0.250
0.667 0.333 0.750
0.333 0.667 0.750
0.667 0.333 0.250
0.000 0.000 0.000
0.000 0.000 0.500
```



Entry 9:
This record from Alexandria describes a relaxed structure of Pm2MnOsO8. The functional is PBE with a Hubbard U.

```
Pm2MnOsO8
1.0
4.791 -0.132 0.000
-0.126 4.788 -0.008
0.006 0.005 6.715
Pm Os O Mn
2 1 8 1
direct
0.569 0.569 0.259
0.431 0.431 0.741
0.000 0.000 0.000
0.788 0.128 0.247
0.274 0.275 0.450
0.127 0.789 0.247
0.726 0.725 0.550
0.212 0.872 0.753
0.873 0.211 0.753
0.270 0.271 0.047
0.730 0.729 0.953
0.000 0.000 0.500
```



Entry 10:
This record from Alexandria describes a relaxed structure of Rb3Mn3OsO8. The functional is PBE with a Hubbard U.

Properties
N(E_F) = 4.22 states/eV/f.u.

```
Rb3Mn3OsO8
1.0
6.215 0.000 0.000
-3.107 5.783 0.098
0.000 -3.698 6.352
Rb O Mn Os
3 8 3 1
direct
0.000 0.500 0.000
0.000 0.000 0.000
0.500 0.500 0.000
0.194 0.388 0.651
0.266 0.532 0.340
0.734 0.468 0.660
0.761 0.032 0.337
0.806 0.612 0.349
0.239 0.968 0.663
0.729 0.968 0.663
0.271 0.032 0.337
0.500 0.500 0.500
0.500 0.000 0.500
0.000 0.500 0.500
0.000 0.000 0.500
```



Entry 11:
This record from Alexandria describes a relaxed structure of RbMnOsO6. The functional is PBE with a Hubbard U.

Properties
N(E_F) = 1.15 states/eV/f.u.

```
RbMnOsO6
1.0
5.186 0.000 0.006
2.592 4.491 0.004
-0.001 0.010 6.310
Os O Rb Mn
1 6 1 1
direct
0.333 0.333 0.500
0.397 0.598 0.328
0.006 0.398 0.328
0.597 0.006 0.328
0.597 0.396 0.672
0.006 0.597 0.672
0.397 0.005 0.672
0.000 0.000 0.000
0.667 0.667 0.500
```



Entry 12:
This record from Alexandria describes a relaxed structure of MnOsRh2O. The functional is PBE with a Hubbard U.

Properties
N(E_F) = 5.41 states/eV/f.u.

```
MnOsRh2O
1.0
4.795 0.000 0.000
0.000 3.389 0.000
0.000 0.000 4.795
Mn Rh Os O
1 2 1 1
direct
0.000 0.000 0.000
0.500 0.000 0.000
0.000 0.000 0.500
0.500 0.500 0.500
0.000 0.500 0.000
```



Entry 13:
This record from Alexandria describes a relaxed structure of MnOsRuO6. The functional is PBE with a Hubbard U.

Properties
N(E_F) = 5.58 states/eV/f.u.

```
MnOsRuO6
1.0
4.951 0.000 0.000
-2.475 4.287 0.000
0.000 0.000 9.541
O Os Ru Mn
12 2 2 2
direct
0.008 0.346 0.631
0.346 0.339 0.369
0.661 0.008 0.369
0.339 0.346 0.869
0.661 0.654 0.131
0.992 0.654 0.369
0.339 0.992 0.631
0.654 0.992 0.869
0.654 0.661 0.631
0.992 0.339 0.131
0.008 0.661 0.869
0.346 0.008 0.131
0.333 0.667 0.750
0.667 0.333 0.250
0.667 0.333 0.750
0.333 0.667 0.250
0.000 0.000 0.500
0.000 0.000 0.000
```



Entry 14:
This record from Alexandria describes a relaxed structure of MnOsRuO2. The functional is PBE with a Hubbard U.

Properties
N(E_F) = 4.77 states/eV/f.u.

```
MnOsRuO2
1.0
-0.193 2.003 2.899
-2.928 -3.823 2.447
2.959 -1.484 1.223
Os O Ru Mn
1 2 1 1
direct
0.000 0.500 0.000
0.500 0.000 0.000
0.000 0.000 0.500
0.500 0.500 0.500
0.000 0.000 0.000
```



Entry 15:
This record from Alexandria describes a relaxed structure of MnSbOsO6. The functional is PBE with a Hubbard U.

Properties
N(E_F) = 2.31 states/eV/f.u.

```
MnSbOsO6
1.0
-5.173 0.612 0.818
1.771 -4.198 -2.655
0.705 -4.787 8.041
O Os Mn Sb
12 2 2 2
direct
0.006 0.646 0.864
0.006 0.360 0.636
0.360 0.006 0.136
0.994 0.354 0.136
0.646 0.640 0.136
0.646 0.006 0.364
0.994 0.640 0.364
0.360 0.354 0.364
0.354 0.360 0.864
0.640 0.646 0.636
0.640 0.994 0.864
0.354 0.994 0.636
0.333 0.667 0.750
0.667 0.333 0.250
0.000 0.000 0.500
0.000 0.000 0.000
0.667 0.333 0.750
0.333 0.667 0.250
```



Entry 16:
This record from Alexandria describes a relaxed structure of MnSb2OsO8. The functional is PBE with a Hubbard U.

Properties
N(E_F) = 2.17 states/eV/f.u.

```
MnSb2OsO8
1.0
-3.865 -0.552 2.679
2.621 -0.107 3.939
-0.546 6.433 0.538
O Sb Mn Os
8 2 1 1
direct
0.804 0.197 0.765
0.687 0.688 0.500
0.700 0.701 0.000
0.196 0.803 0.765
0.313 0.312 0.500
0.196 0.803 0.235
0.300 0.299 0.000
0.804 0.197 0.235
0.500 0.500 0.747
0.500 0.500 0.253
0.000 0.000 0.500
0.000 0.000 0.000
```



Entry 17:
This record from Alexandria describes a relaxed structure of ScMnOsO6. The functional is PBE with a Hubbard U.

Properties
N(E_F) = 3.44 states/eV/f.u.

```
ScMnOsO6
1.0
-1.256 -0.466 5.039
1.316 -4.224 -2.760
8.734 1.225 2.290
O Os Sc Mn
12 2 2 2
direct
0.028 0.364 0.633
0.636 0.972 0.867
0.028 0.664 0.867
0.664 0.636 0.133
0.664 0.028 0.367
0.972 0.636 0.367
0.364 0.336 0.367
0.336 0.364 0.867
0.336 0.972 0.633
0.636 0.664 0.633
0.972 0.336 0.133
0.364 0.028 0.133
0.667 0.333 0.250
0.333 0.667 0.750
0.667 0.333 0.750
0.333 0.667 0.250
0.000 0.000 0.000
0.000 0.000 0.500
```



Entry 18:
This record from Alexandria describes a relaxed structure of MnSiOsO6. The functional is PBE with a Hubbard U.

Properties
N(E_F) = 4.41 states/eV/f.u.

```
MnSiOsO6
1.0
4.938 0.000 0.000
-2.469 4.276 0.000
0.000 0.000 9.183
O Si Mn Os
12 2 2 2
direct
0.979 0.627 0.359
0.627 0.648 0.641
0.648 0.021 0.359
0.648 0.627 0.141
0.373 0.021 0.141
0.373 0.352 0.359
0.352 0.979 0.641
0.627 0.979 0.859
0.021 0.648 0.859
0.979 0.352 0.141
0.021 0.373 0.641
0.352 0.373 0.859
0.667 0.333 0.250
0.333 0.667 0.750
0.000 0.000 0.000
0.000 0.000 0.500
0.667 0.333 0.750
0.333 0.667 0.250
```



Entry 19:
This record from Alexandria describes a relaxed structure of MnSnOsO6. The functional is PBE with a Hubbard U.

Properties
N(E_F) = 3.65 states/eV/f.u.

```
MnSnOsO6
1.0
-2.340 3.552 3.157
-2.943 -3.395 -2.806
0.280 -5.954 6.908
O Sn Mn Os
12 2 2 2
direct
0.022 0.657 0.868
0.635 0.978 0.868
0.657 0.022 0.368
0.978 0.343 0.132
0.365 0.343 0.368
0.657 0.635 0.132
0.365 0.022 0.132
0.343 0.365 0.868
0.343 0.978 0.632
0.978 0.635 0.368
0.635 0.657 0.632
0.022 0.365 0.632
0.333 0.667 0.250
0.667 0.333 0.750
0.000 0.000 0.000
0.000 0.000 0.500
0.667 0.333 0.250
0.333 0.667 0.750
```



Entry 20:
This record from Alexandria describes a relaxed structure of Mn2SnOsO. The functional is PBE with a Hubbard U.

Properties
N(E_F) = 3.40 states/eV/f.u.

```
Mn2SnOsO
1.0
-3.259 2.350 -0.704
-0.741 -2.285 -4.197
-2.372 -2.721 1.900
Sn Mn Os O
1 2 1 1
direct
0.000 0.500 0.000
0.000 0.000 0.500
0.500 0.000 0.000
0.500 0.500 0.500
0.000 0.000 0.000
```



Entry 21:
This record from Alexandria describes a relaxed structure of SrMnOsO2. The functional is PBE with a Hubbard U.

Properties
N(E_F) = 4.29 states/eV/f.u.

```
SrMnOsO2
1.0
4.081 0.000 0.000
0.000 4.991 0.000
0.000 0.000 4.081
Os Sr Mn O
1 1 1 2
direct
0.000 0.000 0.000
0.500 0.500 0.500
0.000 0.500 0.000
0.500 0.000 0.000
0.000 0.000 0.500
```



Number 1: calculated volume 91 Å³ per cell, size of the total moment 8.7 μB/cell, energy -7.917 eV/atom. Number 2: calculated volume 258 Å³ per cell, size of the total moment 15.7 μB/cell, energy -7.745 eV/atom. Number 3: calculated volume 86 Å³ per cell, size of the total moment 3.6 μB/cell, energy -6.279 eV/atom. Number 4: calculated volume 53 Å³ per cell, size of the total moment 4.0 μB/cell, energy -6.462 eV/atom. Number 5: calculated volume 86 Å³ per cell, size of the total moment 3.8 μB/cell, energy -6.741 eV/atom. Number 6: calculated volume 74 Å³ per cell, size of the total moment 2.2 μB/cell, energy -6.166 eV/atom. Number 7: calculated volume 247 Å³ per cell, size of the total moment 10.0 μB/cell, energy -6.950 eV/atom. Number 8: calculated volume 234 Å³ per cell, size of the total moment 8.0 μB/cell, energy -7.637 eV/atom. Number 9: calculated volume 154 Å³ per cell, size of the total moment 1.0 μB/cell, energy -7.521 eV/atom. Number 10: calculated volume 231 Å³ per cell, size of the total moment 14.9 μB/cell, energy -6.455 eV/atom. Number 11: calculated volume 147 Å³ per cell, size of the total moment 4.0 μB/cell, energy -6.733 eV/atom. Number 12: calculated volume 78 Å³ per cell, size of the total moment 6.3 μB/cell, energy -6.652 eV/atom. Number 13: calculated volume 203 Å³ per cell, size of the total moment 6.3 μB/cell, energy -7.482 eV/atom. Number 14: calculated volume 67 Å³ per cell, size of the total moment 0.8 μB/cell, energy -6.735 eV/atom. Number 15: calculated volume 226 Å³ per cell, size of the total moment 15.9 μB/cell, energy -7.096 eV/atom. Number 16: calculated volume 145 Å³ per cell, size of the total moment 6.9 μB/cell, energy -6.836 eV/atom. Number 17: calculated volume 215 Å³ per cell, size of the total moment 8.0 μB/cell, energy -7.874 eV/atom. Number 18: calculated volume 194 Å³ per cell, size of the total moment 6.0 μB/cell, energy -7.626 eV/atom. Number 19: calculated volume 222 Å³ per cell, size of the total moment 6.1 μB/cell, energy -7.101 eV/atom. Number 20: calculated volume 80 Å³ per cell, size of the total moment 9.6 μB/cell, energy -7.035 eV/atom. Number 21: calculated volume 83 Å³ per cell, size of the total moment 3.3 μB/cell, energy -6.246 eV/atom.